No. 1
# Rb2AgHg6Au (PBE-GGA, optimized geometry)
# **Formation energy from the elements**: -135 meV per atom
# **Density of states at the Fermi level**: 3.79 states/eV/f.u.
# **Space-group type**: C2/m (12)
data_Rb2AgHg6Au
_chemical_formula_sum 'Rb2 Ag1 Hg6 Au1'
_symmetry_space_group_name_H-M 'P 1'
_symmetry_Int_Tables_number 1
_symmetry_space_group_name_Hall 'P 1'
_cell_length_a 7.8381
_cell_length_b 7.8381
_cell_length_c 7.6874
_cell_angle_alpha 119.10
_cell_angle_beta 119.10
_cell_angle_gamma 90.02
loop_
_atom_site_label
_atom_site_type_symbol
_atom_site_fract_x
_atom_site_fract_y
_atom_site_fract_z
Rb1 Rb 0.2498 0.7502 0.0000
Rb2 Rb 0.7502 0.2498 0.0000
Ag1 Ag 0.0000 0.0000 0.5000
Hg1 Hg 0.2503 0.2503 0.5017
Hg2 Hg 0.2495 0.7505 0.5000
Hg3 Hg 0.2505 0.2505 0.9992
Hg4 Hg 0.7495 0.7495 0.0008
Hg5 Hg 0.7505 0.2495 0.5000
Hg6 Hg 0.7497 0.7497 0.4983
Au1 Au 0.5000 0.5000 0.5000


No. 2
# Sc2AgTe4 (PBE-GGA, optimized geometry)
# **Density of states at the Fermi level**: 3.17 states/eV/f.u.
# **ΔE_f (raw)**: -75.0 kJ per mole of atoms
# **Space-group type**: Cmcm (63)
data_Sc2AgTe4
_chemical_formula_sum 'Sc4 Ag2 Te8'
_symmetry_space_group_name_H-M 'P 1'
_symmetry_Int_Tables_number 1
_symmetry_space_group_name_Hall 'P 1'
_cell_length_a 7.0567
_cell_length_b 7.0567
_cell_length_c 14.7578
_cell_angle_alpha 90.00
_cell_angle_beta 90.00
_cell_angle_gamma 146.85
loop_
_atom_site_label
_atom_site_type_symbol
_atom_site_fract_x
_atom_site_fract_y
_atom_site_fract_z
Sc1 Sc 0.1391 0.8609 0.5643
Sc2 Sc 0.1391 0.8609 0.9357
Sc3 Sc 0.8609 0.1391 0.0643
Sc4 Sc 0.8609 0.1391 0.4357
Ag1 Ag 0.4018 0.5982 0.7500
Ag2 Ag 0.5982 0.4018 0.2500
Te1 Te 0.0478 0.9522 0.7500
Te2 Te 0.2211 0.7789 0.1205
Te3 Te 0.2211 0.7789 0.3795
Te4 Te 0.5000 0.5000 0.0000
Te5 Te 0.5000 0.5000 0.5000
Te6 Te 0.7789 0.2211 0.6205
Te7 Te 0.7789 0.2211 0.8795
Te8 Te 0.9522 0.0478 0.2500


No. 3
# CdNi3 (PBE-GGA, optimized geometry)
# **Formation energy from the elements**: 175 meV per atom
# **Density of states at the Fermi level**: 5.44 states/eV/f.u.
# **Space-group type**: Cmmm (65)
data_CdNi3
_chemical_formula_sum 'Cd1 Ni3'
_symmetry_space_group_name_H-M 'P 1'
_symmetry_Int_Tables_number 1
_symmetry_space_group_name_Hall 'P 1'
_cell_length_a 4.4973
_cell_length_b 4.4973
_cell_length_c 2.7123
_cell_angle_alpha 90.00
_cell_angle_beta 90.00
_cell_angle_gamma 107.32
loop_
_atom_site_label
_atom_site_type_symbol
_atom_site_fract_x
_atom_site_fract_y
_atom_site_fract_z
Cd1 Cd 0.0000 0.0000 0.0000
Ni1 Ni 0.0000 0.5000 0.5000
Ni2 Ni 0.5000 0.0000 0.5000
Ni3 Ni 0.5000 0.5000 0.0000


No. 4
# Hf6CuPd12 (PBE-GGA, optimized geometry)
# **Formation energy from the elements**: -600 meV per atom
# **Density of states at the Fermi level**: 8.66 states/eV/f.u.
# **Space-group type**: R-3 (148)
data_Hf6CuPd12
_chemical_formula_sum 'Hf6 Cu1 Pd12'
_symmetry_space_group_name_H-M 'P 1'
_symmetry_Int_Tables_number 1
_symmetry_space_group_name_Hall 'P 1'
_cell_length_a 6.9275
_cell_length_b 6.9275
_cell_length_c 6.9275
_cell_angle_alpha 93.62
_cell_angle_beta 93.62
_cell_angle_gamma 93.62
loop_
_atom_site_label
_atom_site_type_symbol
_atom_site_fract_x
_atom_site_fract_y
_atom_site_fract_z
Hf1 Hf 0.1943 0.3589 0.7476
Hf2 Hf 0.2524 0.8057 0.6411
Hf3 Hf 0.3589 0.7476 0.1943
Hf4 Hf 0.6411 0.2524 0.8057
Hf5 Hf 0.7476 0.1943 0.3589
Hf6 Hf 0.8057 0.6411 0.2524
Cu1 Cu 0.5000 0.5000 0.5000
Pd1 Pd 0.0306 0.7074 0.9565
Pd2 Pd 0.0435 0.9694 0.2926
Pd3 Pd 0.1413 0.4667 0.3748
Pd4 Pd 0.2926 0.0435 0.9694
Pd5 Pd 0.3748 0.1413 0.4667
Pd6 Pd 0.4667 0.3748 0.1413
Pd7 Pd 0.5333 0.6252 0.8587
Pd8 Pd 0.6252 0.8587 0.5333
Pd9 Pd 0.7074 0.9565 0.0306
Pd10 Pd 0.8587 0.5333 0.6252
Pd11 Pd 0.9565 0.0306 0.7074
Pd12 Pd 0.9694 0.2926 0.0435